Compound: FePt2Rh2
Source: Alexandria via LeMat-Bulk
Functional: PBE
Structure: optimized geometry

The total energy comes out at -34.1 eV per formula unit. The space group is P4/mbm (127). The calculation puts the formation energy at 1.2 eV per formula unit. As for the density of states at the Fermi level: 1.54 states/eV/atom. The total moment comes out at 4.6 μB per formula unit.

a b c (Å): 6.5474 6.5474 3.7058
angles (deg): 90.00 90.00 90.00
Closest atoms and distances in Å follow each position.
Atoms (fractional coordinates):
Rh (0.1532, 0.6532, 0.5000)  6 Pt 2.64-2.69, 1 Rh 2.84
Rh (0.6532, 0.8468, 0.5000)  6 Pt 2.64-2.69, 1 Rh 2.84
Rh (0.8468, 0.3468, 0.5000)  6 Pt 2.64-2.69, 1 Rh 2.84
Rh (0.3468, 0.1532, 0.5000)  6 Pt 2.64-2.69, 1 Rh 2.84
Fe (0.5000, 0.5000, 0.0000)  4 Pt 2.52
Fe (0.0000, 0.0000, 0.0000)  4 Pt 2.52
Pt (0.6438, 0.1438, 0.0000)  2 Fe 2.52, 6 Rh 2.64-2.69, 1 Pt 2.66
Pt (0.8562, 0.6438, 0.0000)  2 Fe 2.52, 6 Rh 2.64-2.69, 1 Pt 2.66
Pt (0.1438, 0.3562, 0.0000)  2 Fe 2.52, 6 Rh 2.64-2.69, 1 Pt 2.66
Pt (0.3562, 0.8562, 0.0000)  2 Fe 2.52, 6 Rh 2.64-2.69, 1 Pt 2.66

---

Compound: Ba2CuAs
Source: Alexandria via LeMat-Bulk
Functional: PBE
Structure: optimized geometry

The total energy comes out at -14.5 eV per formula unit. The space group is Pmmm (47). The calculation puts the formation energy at -1.9 eV per formula unit. As for the density of states at the Fermi level: 0.28 states/eV/atom. The total moment comes out at 0.0 μB per formula unit.

a b c (Å): 3.9331 4.1357 8.0101
angles (deg): 90.00 90.00 90.00
Closest atoms and distances in Å follow each position.
Atoms (fractional coordinates):
Cu (0.5000, 0.5000, 0.2500)  8 Ba 3.58, 2 Cu 3.93, 2 As 4.01
Ba (0.0000, 0.0000, 0.9804)  4 As 3.40, 4 Cu 3.58, 1 Ba 3.69
Ba (0.0000, 0.0000, 0.5196)  4 As 3.40, 4 Cu 3.58, 1 Ba 3.69
As (0.5000, 0.5000, 0.7500)  8 Ba 3.40

---

Compound: MnAg2Te
Source: Alexandria via LeMat-Bulk
Functional: PBE
Structure: optimized geometry

The total energy comes out at -17.0 eV per formula unit. The space group is R3m (160). The value obtained for the uncorrected formation energy is 258 meV per atom. As for the density of states at the Fermi level: 0.45 states/eV/atom. The total moment comes out at 3.2 μB per formula unit.

a b c (Å): 8.7199 8.7199 8.7199
angles (deg): 22.19 22.19 22.19
Closest atoms and distances in Å follow each position.
Atoms (fractional coordinates):
Ag (0.2430, 0.2430, 0.2430)  3 Mn 2.73, 3 Ag 2.87
Ag (0.9929, 0.9929, 0.9929)  3 Ag 2.87
Mn (0.5009, 0.5009, 0.5009)  3 Te 2.65, 3 Ag 2.73
Te (0.7633, 0.7633, 0.7633)  3 Mn 2.65

---

Compound: GaCuSeO6
Source: Alexandria via LeMat-Bulk
Functional: PBE
Structure: optimized geometry

The total energy comes out at -46.7 eV per formula unit. The space group is P-31c (163). The value obtained for the uncorrected formation energy is -707 meV per atom. As for the density of states at the Fermi level: 0.46 states/eV/atom. The total moment comes out at 2.0 μB per formula unit.

a b c (Å): 4.9691 4.9691 8.6503
angles (deg): 90.00 90.00 120.00
Closest atoms and distances in Å follow each position.
Atoms (fractional coordinates):
Ga (0.6667, 0.3333, 0.2500)  6 O 1.98
Ga (0.3333, 0.6667, 0.7500)  6 O 1.98
O (0.0232, 0.6566, 0.3686)  1 Se 1.83, 1 Ga 1.98
O (0.6335, 0.9768, 0.3686)  1 Se 1.83, 1 Ga 1.98
O (0.3665, 0.3434, 0.8686)  1 Se 1.83, 1 Ga 1.98
O (0.6566, 0.6335, 0.6314)  1 Se 1.83, 1 Ga 1.98
O (0.3665, 0.0232, 0.6314)  1 Se 1.83, 1 Ga 1.98
O (0.3434, 0.9768, 0.1314)  1 Se 1.83, 1 Ga 1.98
O (0.9768, 0.3434, 0.6314)  1 Se 1.83, 1 Ga 1.98
O (0.0232, 0.3665, 0.1314)  1 Se 1.83, 1 Ga 1.98
O (0.6335, 0.6566, 0.1314)  1 Se 1.83, 1 Ga 1.98
O (0.3434, 0.3665, 0.3686)  1 Se 1.83, 1 Ga 1.98
O (0.6566, 0.0232, 0.8686)  1 Se 1.83, 1 Ga 1.98
O (0.9768, 0.6335, 0.8686)  1 Se 1.83, 1 Ga 1.98
Cu (0.0000, 0.0000, 0.0000)  6 O 2.10
Cu (0.0000, 0.0000, 0.5000)  6 O 2.10
Se (0.6667, 0.3333, 0.7500)  6 O 1.83
Se (0.3333, 0.6667, 0.2500)  6 O 1.83

---

Compound: ZnCu2Mo
Source: Alexandria via LeMat-Bulk
Functional: PBE
Structure: optimized geometry

The total energy comes out at -19.4 eV per formula unit. The space group is C2/m (12). The calculation puts the formation energy at 0.9 eV per formula unit. As for the density of states at the Fermi level: 0.84 states/eV/atom. The total moment comes out at 0.0 μB per formula unit.

a b c (Å): 4.9959 5.1961 2.4986
angles (deg): 79.23 83.61 117.00
Closest atoms and distances in Å follow each position.
Atoms (fractional coordinates):
Cu (0.0000, 0.0000, 0.0000)  4 Cu 2.50-2.67, 2 Zn 2.66, 2 Mo 2.66
Cu (0.5000, 0.0000, 0.5000)  4 Cu 2.50-2.67, 2 Mo 2.66, 2 Zn 2.66
Zn (0.5000, 0.5000, 0.0000)  2 Zn 2.50, 4 Cu 2.66, 2 Mo 2.67
Mo (0.0000, 0.5000, 0.5000)  2 Mo 2.50, 4 Cu 2.66, 2 Zn 2.67

---

Compound: Sc2MoCl
Source: Alexandria via LeMat-Bulk
Functional: PBE
Structure: optimized geometry

The total energy comes out at -25.4 eV per formula unit. The space group is R-3m (166). The value obtained for the uncorrected formation energy is -27 meV per atom. As for the density of states at the Fermi level: 1.28 states/eV/atom. The total moment comes out at 0.0 μB per formula unit.

a b c (Å): 9.6060 9.6060 9.6060
angles (deg): 18.41 18.41 18.41
Closest atoms and distances in Å follow each position.
Atoms (fractional coordinates):
Sc (0.0926, 0.0926, 0.0926)  1 Mo 2.62, 3 Cl 2.75
Sc (0.9074, 0.9074, 0.9074)  1 Mo 2.62, 3 Cl 2.75
Cl (0.5000, 0.5000, 0.5000)  6 Sc 2.75, 6 Cl 3.07
Mo (0.0000, 0.0000, 0.0000)  2 Sc 2.62

---

Compound: CsZnO2
Source: Alexandria via LeMat-Bulk
Functional: PBE
Structure: optimized geometry

The total energy comes out at -15.3 eV per formula unit. The space group is R-3m (166). The value obtained for the uncorrected formation energy is -818 meV per atom. As for the density of states at the Fermi level: 1.36 states/eV/atom. The total moment comes out at 1.0 μB per formula unit.

a b c (Å): 7.2507 7.2507 7.2507
angles (deg): 36.36 36.36 36.36
Closest atoms and distances in Å follow each position.
Atoms (fractional coordinates):
O (0.9139, 0.9139, 0.9139)  1 Zn 1.75
O (0.0861, 0.0861, 0.0861)  1 Zn 1.75
Zn (0.0000, 0.0000, 0.0000)  2 O 1.75
Cs (0.5000, 0.5000, 0.5000)  6 O 3.08

---

Compound: Ce7SnPd2
Source: Alexandria via LeMat-Bulk
Functional: PBE
Structure: optimized geometry

The total energy comes out at -56.5 eV per formula unit. The space group is Cmmm (65). The calculation puts the formation energy at -0.5 eV per formula unit. As for the density of states at the Fermi level: 3.39 states/eV/atom. The total moment comes out at 6.6 μB per formula unit.

a b c (Å): 5.0510 8.3992 8.3992
angles (deg): 118.22 90.00 90.00
Closest atoms and distances in Å follow each position.
Atoms (fractional coordinates):
Pd (0.5000, 0.3134, 0.6866)  3 Ce 2.69-2.74
Pd (0.5000, 0.6866, 0.3134)  3 Ce 2.69-2.74
Ce (0.5000, 0.9555, 0.7200)  1 Ce 2.80, 1 Pd 3.08
Ce (0.0000, 0.2404, 0.7596)  2 Pd 2.74
Ce (0.5000, 0.2800, 0.0445)  1 Ce 2.80, 1 Pd 3.08
Ce (0.0000, 0.7596, 0.2404)  2 Pd 2.74
Ce (0.5000, 0.5000, 0.5000)  2 Pd 2.69
Ce (0.5000, 0.7200, 0.9555)  1 Ce 2.80, 1 Pd 3.08
Ce (0.5000, 0.0445, 0.2800)  1 Ce 2.80, 1 Pd 3.08
Sn (0.0000, 0.0000, 0.0000)  10 Ce 3.35-3.47

---

Compound: TiNb3Fe
Source: Alexandria via LeMat-Bulk
Functional: PBE
Structure: optimized geometry

The total energy comes out at -38.5 eV per formula unit. The space group is Pm-3m (221). The calculation puts the formation energy at 8.1 eV per formula unit. As for the density of states at the Fermi level: 2.51 states/eV/atom. The total moment comes out at 0.0 μB per formula unit.

a b c (Å): 4.6214 4.6214 4.6214
angles (deg): 90.00 90.00 90.00
Closest atoms and distances in Å follow each position.
Atoms (fractional coordinates):
Ti (0.0000, 0.0000, 0.0000)  6 Nb 2.31
Fe (0.5000, 0.5000, 0.5000)  12 Nb 3.27
Nb (0.0000, 0.5000, 0.0000)  2 Ti 2.31
Nb (0.5000, 0.0000, 0.0000)  2 Ti 2.31
Nb (0.0000, 0.0000, 0.5000)  2 Ti 2.31

---

Compound: Pr2Sm5Sn4
Source: Alexandria via LeMat-Bulk
Functional: PBE
Structure: optimized geometry

The total energy comes out at -52.2 eV per formula unit. The space group is C2/m (12). The calculation puts the formation energy at -3.0 eV per formula unit. As for the density of states at the Fermi level: 1.11 states/eV/atom. The total moment comes out at 0.0 μB per formula unit.

a b c (Å): 3.5619 7.5490 13.7077
angles (deg): 88.77 97.47 90.00
Closest atoms and distances in Å follow each position.
Atoms (fractional coordinates):
Sm (0.1359, 0.1673, 0.2718)  3 Sn 3.14-3.20
Sm (0.0897, 0.7022, 0.1794)  4 Sn 3.24-3.26, 2 Sm 3.56
Sm (0.5000, 0.0000, 0.0000)  4 Sn 3.22, 2 Sm 3.56
Sm (0.8641, 0.8327, 0.7282)  3 Sn 3.14-3.20
Sm (0.9103, 0.2978, 0.8206)  4 Sn 3.24-3.26, 2 Sm 3.56
Sn (0.3281, 0.5081, 0.6562)  4 Sm 3.20-3.24, 3 Pr 3.23-3.28, 2 Sn 3.56
Sn (0.0293, 0.3376, 0.0587)  1 Sn 2.90, 4 Sm 3.14-3.24
Sn (0.6719, 0.4919, 0.3438)  4 Sm 3.20-3.24, 3 Pr 3.23-3.28, 2 Sn 3.56
Sn (0.9707, 0.6624, 0.9413)  1 Sn 2.90, 4 Sm 3.14-3.24
Pr (0.2337, 0.7757, 0.4674)  3 Sn 3.23-3.28, 2 Pr 3.56
Pr (0.7663, 0.2243, 0.5326)  3 Sn 3.23-3.28, 2 Pr 3.56

---

Compound: Ce4Sn5Hg
Source: Alexandria via LeMat-Bulk
Functional: PBE
Structure: optimized geometry

The total energy comes out at -48.9 eV per formula unit. The space group is Pmmn (59). The calculation puts the formation energy at -4.9 eV per formula unit. As for the density of states at the Fermi level: 2.63 states/eV/atom. The total moment comes out at 3.1 μB per formula unit.

a b c (Å): 4.3955 11.9285 11.3950
angles (deg): 90.00 90.00 90.00
Closest atoms and distances in Å follow each position.
Atoms (fractional coordinates):
Hg (0.0018, 0.0000, 0.0000)  2 Ce 3.17, 4 Sn 3.30
Hg (0.9982, 0.5000, 0.5000)  2 Ce 3.17, 4 Sn 3.30
Ce (0.2479, 0.5000, 0.1980)  6 Sn 3.14-3.33
Ce (0.2589, 0.7477, 0.5000)  5 Sn 3.01-3.25, 1 Hg 3.17
Ce (0.2589, 0.2523, 0.5000)  5 Sn 3.01-3.25, 1 Hg 3.17
Ce (0.7411, 0.2477, 0.0000)  5 Sn 3.01-3.25, 1 Hg 3.17
Ce (0.7411, 0.7523, 0.0000)  5 Sn 3.01-3.25, 1 Hg 3.17
Ce (0.7521, 0.0000, 0.3020)  6 Sn 3.14-3.33
Ce (0.7521, 0.0000, 0.6980)  6 Sn 3.14-3.33
Ce (0.2479, 0.5000, 0.8020)  6 Sn 3.14-3.33
Sn (0.2467, 0.8174, 0.8034)  2 Sn 2.96-3.00, 3 Ce 3.22-3.30, 1 Hg 3.30
Sn (0.7533, 0.6826, 0.6966)  2 Sn 2.96-3.00, 3 Ce 3.22-3.30, 1 Hg 3.30
Sn (0.2482, 0.0000, 0.5000)  6 Ce 3.01-3.16
Sn (0.7533, 0.3174, 0.6966)  2 Sn 2.96-3.00, 3 Ce 3.22-3.30, 1 Hg 3.30
Sn (0.2467, 0.1826, 0.1966)  2 Sn 2.96-3.00, 3 Ce 3.22-3.30, 1 Hg 3.30
Sn (0.7533, 0.6826, 0.3034)  2 Sn 2.96-3.00, 3 Ce 3.22-3.30, 1 Hg 3.30
Sn (0.2467, 0.8174, 0.1966)  2 Sn 2.96-3.00, 3 Ce 3.22-3.30, 1 Hg 3.30
Sn (0.2467, 0.1826, 0.8034)  2 Sn 2.96-3.00, 3 Ce 3.22-3.30, 1 Hg 3.30
Sn (0.7518, 0.5000, 0.0000)  6 Ce 3.01-3.16
Sn (0.7533, 0.3174, 0.3034)  2 Sn 2.96-3.00, 3 Ce 3.22-3.30, 1 Hg 3.30

---

Compound: Ca4YIr
Source: Alexandria via LeMat-Bulk
Functional: PBE
Structure: optimized geometry

The total energy comes out at -19.1 eV per formula unit. The space group is F-43m (216). The calculation puts the formation energy at 4.2 eV per formula unit. As for the density of states at the Fermi level: 1.23 states/eV/atom. The total moment comes out at 0.7 μB per formula unit.

a b c (Å): 6.3757 6.3757 6.3757
angles (deg): 60.00 60.00 60.00
Closest atoms and distances in Å follow each position.
Atoms (fractional coordinates):
Ca (0.3760, 0.8721, 0.3760)  6 Ca 3.16-3.21
Ca (0.8721, 0.3760, 0.3760)  6 Ca 3.16-3.21
Ca (0.3760, 0.3760, 0.8721)  6 Ca 3.16-3.21
Ca (0.3760, 0.3760, 0.3760)  6 Ca 3.16-3.21
Ir (0.7500, 0.7500, 0.7500)  12 Ca 3.74, 4 Y 3.90
Y (0.0000, 0.0000, 0.0000)  12 Ca 3.74, 4 Ir 3.90